The following is a DFT calculation (GGA-PBEsol) of crystalline AsH2Os at its relaxed geometry.

## Properties
- Electronic total energy: -4.89 eV/atom
- D(E_F): 0.477 states/eV per atom
- Crystal system: cubic

a b c (Å): 5.279 5.279 5.279
angles (deg): 90.00 90.00 90.00
Space group Fm-3m (No. 225)
Symmetry-distinct sites (fractional):
As  0.000  0.000  0.000 (multiplicity 4)
H  0.250  0.250  0.250 (multiplicity 8)
Os  0.000  0.000  0.500 (multiplicity 4)



The following is a DFT calculation (GGA-PBEsol) of crystalline MgCoNi2 at its relaxed geometry.

## Properties
- Energy relative to the elements: 60 meV/atom
- D(E_F): 0.985 states/eV per atom
- Crystal system: orthorhombic

a b c (Å): 2.564 4.121 4.390
angles (deg): 90.00 90.00 90.00
Space group Pmm2 (No. 25)
Symmetry-distinct sites (fractional):
Mg  0.000  0.000  0.000 (multiplicity 1)
Co  0.000  0.500  0.633 (multiplicity 1)
Ni  0.500  0.000  0.501 (multiplicity 1)
Ni  0.500  0.500  0.163 (multiplicity 1)



One value per record, in order, for magnetic moment: 0.0; 2.0 μB per formula unit.